# 1
# InAsRuCl | Alexandria | GGA-PBE | optimized geometry
# **N(E_F)**: 0.37 states/eV/atom
# **Energy**: -4.9347 eV per atom
data_InAsRuCl
_chemical_formula_sum 'In1 As1 Ru1 Cl1'
_space_group_name_H-M_alt 'P m m 2'
_space_group_IT_number 25
_cell_length_a 3.146
_cell_length_b 3.167
_cell_length_c 8.511
_cell_angle_alpha 90.00
_cell_angle_beta 90.00
_cell_angle_gamma 90.00
loop_
_space_group_symop_operation_xyz
'x,y,z'
'-x,-y,z'
'-x,y,z'
'x,-y,z'
loop_
_atom_site_label
_atom_site_type_symbol
_atom_site_fract_x
_atom_site_fract_y
_atom_site_fract_z
In1 In 0.000 0.000 0.000
As1 As 0.000 0.000 0.371
Ru1 Ru 0.500 0.500 0.215
Cl1 Cl 0.000 0.500 0.762

---

# 2
# BaAlP2 | Alexandria | GGA-PBE | optimized geometry
# **N(E_F)**: 0.83 states/eV/atom
# **Energy**: -4.5496 eV per atom
# **Formation enthalpy at 0 K**: -0.43 eV per atom
data_BaAlP2
_chemical_formula_sum 'Ba3 Al3 P6'
_space_group_name_H-M_alt 'R 3 m'
_space_group_IT_number 160
_space_group_name_Hall 'R 3 -2"'
_cell_length_a 3.8972
_cell_length_b 3.8972
_cell_length_c 21.3837
_cell_angle_alpha 90.00
_cell_angle_beta 90.00
_cell_angle_gamma 120.00
loop_
_atom_site_label
_atom_site_type_symbol
_atom_site_fract_x
_atom_site_fract_y
_atom_site_fract_z
Ba1 Ba 0.0000 0.0000 0.0000
Al1 Al 0.0000 0.0000 0.8281
P1 P 0.0000 0.0000 0.2249
P2 P 0.0000 0.0000 0.4389

---

# 3
# K12Ba3Cl5 | Alexandria | GGA-PBE | optimized geometry
# **N(E_F)**: 0.85 states/eV/atom
# **Energy**: -2.1057 eV per atom
data_K12Ba3Cl5
_chemical_formula_sum 'K96 Ba24 Cl40'
_space_group_name_H-M_alt 'I a -3 d'
_space_group_IT_number 230
_space_group_name_Hall '-I 4bd 2c 3'
_cell_length_a 21.429
_cell_length_b 21.429
_cell_length_c 21.429
_cell_angle_alpha 90.00
_cell_angle_beta 90.00
_cell_angle_gamma 90.00
loop_
_atom_site_label
_atom_site_type_symbol
_atom_site_fract_x
_atom_site_fract_y
_atom_site_fract_z
K1 K 0.042 0.138 0.950
Ba1 Ba 0.000 0.250 0.125
Cl1 Cl 0.000 0.000 0.000
Cl2 Cl 0.000 0.250 0.375

---

# 4
# Tb2TiAl2Pd5 | Alexandria | GGA-PBE | optimized geometry
# **N(E_F)**: 0.62 states/eV/atom
# **Energy**: -5.8141 eV per atom
# **Formation enthalpy at 0 K**: -0.75 eV per atom
data_Tb2TiAl2Pd5
_chemical_formula_sum 'Tb4 Ti2 Al4 Pd10'
_space_group_name_H-M_alt 'P 4/m b m'
_space_group_IT_number 127
_space_group_name_Hall '-P 4 2ab'
_cell_length_a 10.252
_cell_length_b 10.252
_cell_length_c 3.447
_cell_angle_alpha 90.00
_cell_angle_beta 90.00
_cell_angle_gamma 90.00
loop_
_atom_site_label
_atom_site_type_symbol
_atom_site_fract_x
_atom_site_fract_y
_atom_site_fract_z
Tb1 Tb 0.175 0.325 0.000
Ti1 Ti 0.000 0.000 0.000
Al1 Al 0.126 0.626 0.000
Pd1 Pd 0.000 0.500 0.500
Pd2 Pd 0.051 0.800 0.500

---

# 5
# Dy2TmHg2 | Alexandria | GGA-PBE | optimized geometry
# **N(E_F)**: 0.89 states/eV/atom
# **Energy**: -3.2368 eV per atom
# **Formation enthalpy at 0 K**: -0.38 eV per atom
data_Dy2TmHg2
_chemical_formula_sum 'Dy4 Tm2 Hg4'
_space_group_name_H-M_alt 'P 1 21/m 1'
_space_group_IT_number 11
_cell_length_a 3.740
_cell_length_b 5.249
_cell_length_c 13.652
_cell_angle_alpha 90.00
_cell_angle_beta 97.93
_cell_angle_gamma 90.00
loop_
_space_group_symop_operation_xyz
'x,y,z'
'-x,-y,-z'
'-x,y+1/2,-z'
'x,-y+1/2,z'
loop_
_atom_site_label
_atom_site_type_symbol
_atom_site_fract_x
_atom_site_fract_y
_atom_site_fract_z
Dy1 Dy 0.046 0.250 0.094
Dy2 Dy 0.235 0.250 0.471
Tm1 Tm 0.146 0.750 0.293
Hg1 Hg 0.357 0.750 0.712
Hg2 Hg 0.452 0.250 0.902

---

# 6
# Tb12Sc5Cd2 | Alexandria | GGA-PBE | optimized geometry
# **N(E_F)**: 1.72 states/eV/atom
# **Energy**: -4.6117 eV per atom
# **Formation enthalpy at 0 K**: 0.08 eV per atom
data_Tb12Sc5Cd2
_chemical_formula_sum 'Tb24 Sc10 Cd4'
_space_group_name_H-M_alt 'C 1 2/m 1'
_space_group_IT_number 12
_cell_length_a 15.057
_cell_length_b 9.047
_cell_length_c 8.151
_cell_angle_alpha 90.00
_cell_angle_beta 91.32
_cell_angle_gamma 90.00
loop_
_space_group_symop_operation_xyz
'x,y,z'
'-x,-y,-z'
'-x,y,-z'
'x,-y,z'
'x+1/2,y+1/2,z'
'-x+1/2,-y+1/2,-z'
'-x+1/2,y+1/2,-z'
'x+1/2,-y+1/2,z'
loop_
_atom_site_label
_atom_site_type_symbol
_atom_site_fract_x
_atom_site_fract_y
_atom_site_fract_z
Tb1 Tb 0.059 0.000 0.327
Tb2 Tb 0.087 0.500 0.883
Tb3 Tb 0.126 0.197 0.663
Tb4 Tb 0.153 0.315 0.238
Sc1 Sc 0.000 0.500 0.500
Sc2 Sc 0.196 0.000 0.016
Sc3 Sc 0.234 0.500 0.581
Cd1 Cd 0.000 0.173 0.000

---

# 7
# Ba3Sn2P4 | Alexandria | GGA-PBE | optimized geometry
# **Energy**: -4.6996 eV per atom
# **Formation enthalpy at 0 K**: -0.76 eV per atom
data_Ba3Sn2P4
_chemical_formula_sum 'Ba12 Sn8 P16'
_space_group_name_H-M_alt 'P 1 21/c 1'
_space_group_IT_number 14
_cell_length_a 7.970
_cell_length_b 19.551
_cell_length_c 7.973
_cell_angle_alpha 90.00
_cell_angle_beta 112.76
_cell_angle_gamma 90.00
loop_
_space_group_symop_operation_xyz
'x,y,z'
'-x,-y,-z'
'-x,y+1/2,-z+1/2'
'x,-y+1/2,z+1/2'
loop_
_atom_site_label
_atom_site_type_symbol
_atom_site_fract_x
_atom_site_fract_y
_atom_site_fract_z
Ba1 Ba 0.183 0.195 0.050
Ba2 Ba 0.231 0.063 0.543
Ba3 Ba 0.296 0.688 0.934
Sn1 Sn 0.227 0.506 0.555
Sn2 Sn 0.353 0.621 0.415
P1 P 0.025 0.557 0.711
P2 P 0.069 0.681 0.201
P3 P 0.442 0.190 0.814
P4 P 0.472 0.071 0.279

---

# 8
# Dy4TlAg2Pt | Alexandria | GGA-PBE | optimized geometry
# **N(E_F)**: 0.76 states/eV/atom
# **Energy**: -4.6402 eV per atom
# **Formation enthalpy at 0 K**: -0.58 eV per atom
data_Dy4TlAg2Pt
_chemical_formula_sum 'Dy12 Tl3 Ag6 Pt3'
_space_group_name_H-M_alt 'R -3 m'
_space_group_IT_number 166
_space_group_name_Hall '-R 3 2"'
_cell_length_a 5.1447
_cell_length_b 5.1447
_cell_length_c 25.1392
_cell_angle_alpha 90.00
_cell_angle_beta 90.00
_cell_angle_gamma 120.00
loop_
_atom_site_label
_atom_site_type_symbol
_atom_site_fract_x
_atom_site_fract_y
_atom_site_fract_z
Dy1 Dy 0.0000 0.0000 0.1162
Dy2 Dy 0.0000 0.0000 0.3682
Tl1 Tl 0.0000 0.0000 0.5000
Ag1 Ag 0.0000 0.0000 0.2420
Pt1 Pt 0.0000 0.0000 0.0000